The following is a DFT calculation (PBE-GGA) of a relaxed structure of Sr2NpPN5.

Summary:
Crystal system   orthorhombic
ΔE_f (raw)   -772 meV/atom

Cell lengths 7.305, 7.305, 11.410 Å; angles 90.00, 90.00, 152.69 degrees
Positions (direct):
Sr  0.095  0.905  0.500
Sr  0.134  0.866  0.176
Sr  0.866  0.134  0.676
Sr  0.905  0.095  0.000
Np  0.199  0.801  0.879
Np  0.801  0.199  0.379
P  0.440  0.560  0.254
P  0.560  0.440  0.754
N  0.043  0.957  0.836
N  0.294  0.706  0.491
N  0.322  0.678  0.248
N  0.334  0.666  0.852
N  0.497  0.503  0.136
N  0.503  0.497  0.636
N  0.666  0.334  0.352
N  0.678  0.322  0.748
N  0.706  0.294  0.991
N  0.957  0.043  0.336


The following is a DFT calculation (PBE-GGA) of a relaxed structure of SrCaMg2In4.

Summary:
Calculated total energy   -20.15 eV for the cell shown
Crystal system   trigonal

Cell lengths 9.245, 9.245, 9.245 Å; angles 33.55, 33.55, 33.55 degrees
Positions (direct):
Sr  0.000  0.000  0.000
Ca  0.500  0.500  0.500
Mg  0.250  0.250  0.250
Mg  0.750  0.750  0.750
In  0.127  0.127  0.127
In  0.378  0.378  0.378
In  0.622  0.622  0.622
In  0.873  0.873  0.873


The following is a DFT calculation (PBE-GGA) of a relaxed structure of LaHoNi3.

Summary:
Calculated total energy   -57.55 eV for the cell shown
Crystal system   orthorhombic

Cell lengths 12.387, 12.387, 4.030 Å; angles 90.00, 90.00, 161.66 degrees
Positions (direct):
La  0.073  0.927  0.750
La  0.927  0.073  0.250
Ho  0.205  0.795  0.250
Ho  0.795  0.205  0.750
Ni  0.322  0.678  0.250
Ni  0.376  0.624  0.750
Ni  0.474  0.526  0.750
Ni  0.526  0.474  0.250
Ni  0.624  0.376  0.250
Ni  0.678  0.322  0.750


The following is a DFT calculation (PBE-GGA) of a relaxed structure of YMg2Cu2.

Summary:
Calculated total energy   -18.61 eV for the cell shown
Crystal system   monoclinic

Cell lengths 5.532, 5.532, 5.259 Å; angles 102.62, 102.62, 41.03 degrees
Positions (direct):
Y  0.000  0.000  0.000
Mg  0.352  0.352  0.426
Mg  0.648  0.648  0.574
Cu  0.282  0.282  0.887
Cu  0.718  0.718  0.113


The following is a DFT calculation (PBE-GGA) of a relaxed structure of CsMn2OsPd.

Summary:
Calculated total energy   -26.12 eV for the cell shown
Crystal system   tetragonal

Cell lengths 4.986, 4.986, 5.860 Å; angles 90.00, 90.00, 90.00 degrees
Positions (direct):
Cs  0.000  0.000  0.000
Mn  0.000  0.500  0.500
Mn  0.500  0.000  0.500
Os  0.500  0.500  0.000
Pd  0.000  0.000  0.500


The following is a DFT calculation (PBE-GGA) of a relaxed structure of Cr2HgIr.

Summary:
Calculated total energy   -27.18 eV for the cell shown
Crystal system   monoclinic

Cell lengths 4.845, 4.845, 4.785 Å; angles 104.17, 104.17, 34.66 degrees
Positions (direct):
Cr  0.000  0.000  0.000
Cr  0.723  0.723  0.237
Hg  0.490  0.490  0.498
Ir  0.262  0.262  0.801


The following is a DFT calculation (PBE-GGA) of a relaxed structure of LuMgZrMn.

Summary:
Calculated total energy   -23.28 eV for the cell shown
Crystal system   cubic

Cell lengths 4.909, 4.909, 4.909 Å; angles 60.00, 60.00, 60.00 degrees
Positions (direct):
Lu  0.000  0.000  0.000
Mg  0.250  0.250  0.250
Zr  0.500  0.500  0.500
Mn  0.750  0.750  0.750


The following is a DFT calculation (PBE-GGA) of a relaxed structure of TcRhPb2.

Summary:
Calculated total energy   -44.03 eV for the cell shown
Crystal system   tetragonal

Cell lengths 9.781, 9.781, 9.781 Å; angles 154.05, 154.05, 37.02 degrees
Positions (direct):
Tc  0.000  0.000  0.000
Tc  0.750  0.250  0.500
Rh  0.250  0.750  0.500
Rh  0.500  0.500  0.000
Pb  0.128  0.625  0.003
Pb  0.375  0.378  0.503
Pb  0.622  0.125  0.997
Pb  0.875  0.872  0.497